No. 1
VASP calculation (PBE) on La4Er15Tm after structural relaxation.

Cell: 5.0426 5.0426 25.0488 Å, 90.00 90.00 90.00°
Closest atoms and distances in Å follow each position.
Atoms (fractional coordinates):
La1 0.0000 0.0000 0.1007  12 Er 3.56-3.57
La2 0.0000 0.0000 0.3005  12 Er 3.54-3.60
La3 0.0000 0.0000 0.6995  12 Er 3.54-3.60
La4 0.0000 0.0000 0.8993  12 Er 3.56-3.57
Er1 0.0000 0.5000 0.0000  8 Er 3.56-3.57, 4 La 3.57
Er2 0.0000 0.5000 0.2012  4 La 3.54-3.56, 8 Er 3.57
Er3 0.0000 0.5000 0.4032  8 Er 3.50-3.57, 2 Tm 3.50, 2 La 3.60
Er4 0.0000 0.5000 0.5968  8 Er 3.50-3.57, 2 Tm 3.50, 2 La 3.60
Er5 0.0000 0.5000 0.7988  4 La 3.54-3.56, 8 Er 3.57
Er6 0.5000 0.0000 0.0000  8 Er 3.56-3.57, 4 La 3.57
Er7 0.5000 0.0000 0.2012  4 La 3.54-3.56, 8 Er 3.57
Er8 0.5000 0.0000 0.4032  8 Er 3.50-3.57, 2 Tm 3.50, 2 La 3.60
Er9 0.5000 0.0000 0.5968  8 Er 3.50-3.57, 2 Tm 3.50, 2 La 3.60
Er10 0.5000 0.0000 0.7988  4 La 3.54-3.56, 8 Er 3.57
Er11 0.5000 0.5000 0.1004  8 Er 3.56-3.57, 4 La 3.57
Er12 0.5000 0.5000 0.3021  4 La 3.57, 8 Er 3.57
Er13 0.5000 0.5000 0.5000  8 Er 3.50, 4 Tm 3.57
Er14 0.5000 0.5000 0.6979  4 La 3.57, 8 Er 3.57
Er15 0.5000 0.5000 0.8996  8 Er 3.56-3.57, 4 La 3.57
Tm1 0.0000 0.0000 0.5000  12 Er 3.50-3.57

Output
mass density	8.4	Mg/m³



No. 2
VASP calculation (PBE) on LaEr8Tm4 after structural relaxation.

Cell: 9.8533 9.8533 9.8533 Å, 42.99 42.99 42.99°
Closest atoms and distances in Å follow each position.
Atoms (fractional coordinates):
La1 0.0000 0.0000 0.0000  6 Er 2.90
Er1 0.2503 0.2503 0.6955  1 La 2.90, 2 Er 3.21
Er2 0.2503 0.6955 0.2503  1 La 2.90, 2 Er 3.21
Er3 0.2807 0.2807 0.2807  9 Er 3.63-3.67, 3 Tm 3.70
Er4 0.3045 0.7497 0.7497  1 La 2.90, 2 Er 3.21
Er5 0.6955 0.2503 0.2503  1 La 2.90, 2 Er 3.21
Er6 0.7193 0.7193 0.7193  9 Er 3.63-3.67, 3 Tm 3.70
Er7 0.7497 0.3045 0.7497  1 La 2.90, 2 Er 3.21
Er8 0.7497 0.7497 0.3045  1 La 2.90, 2 Er 3.21
Tm1 0.0000 0.0000 0.5000  6 Er 3.50-3.70, 6 Tm 3.61
Tm2 0.0000 0.5000 0.0000  6 Er 3.50-3.70, 6 Tm 3.61
Tm3 0.5000 0.0000 0.0000  6 Er 3.50-3.70, 6 Tm 3.61
Tm4 0.5000 0.5000 0.5000  6 Er 3.29, 6 Tm 3.61

Output
mass density	8.9	Mg/m³



No. 3
VASP calculation (PBE) on La5ErTm after structural relaxation.

Cell: 9.3763 9.3763 9.2251 Å, 93.77 93.77 141.09°
Closest atoms and distances in Å follow each position.
Atoms (fractional coordinates):
La1 0.0184 0.3882 0.6474  7 La 3.35-3.73, 1 Tm 3.63, 1 Er 3.67
La2 0.1367 0.8633 0.7500  2 Er 3.34, 6 La 3.45-3.73
La3 0.2408 0.5410 0.0334  4 La 3.35-3.58, 2 Tm 3.46-3.76, 1 Er 3.58
La4 0.3882 0.0184 0.1474  7 La 3.35-3.73, 1 Tm 3.63, 1 Er 3.67
La5 0.4590 0.7592 0.4666  4 La 3.35-3.58, 2 Tm 3.46-3.76, 1 Er 3.58
La6 0.5410 0.2408 0.5334  4 La 3.35-3.58, 2 Tm 3.46-3.76, 1 Er 3.58
La7 0.6118 0.9816 0.8526  7 La 3.35-3.73, 1 Tm 3.63, 1 Er 3.67
La8 0.7592 0.4590 0.9666  4 La 3.35-3.58, 2 Tm 3.46-3.76, 1 Er 3.58
La9 0.8633 0.1367 0.2500  2 Er 3.34, 6 La 3.45-3.73
La10 0.9816 0.6118 0.3526  7 La 3.35-3.73, 1 Tm 3.63, 1 Er 3.67
Er1 0.0000 0.0000 0.0000  6 La 3.34-3.67, 2 Tm 3.50
Er2 0.0000 0.0000 0.5000  6 La 3.34-3.67, 2 Tm 3.50
Tm1 0.4897 0.5103 0.7500  6 La 3.46-3.76, 2 Er 3.50
Tm2 0.5103 0.4897 0.2500  6 La 3.46-3.76, 2 Er 3.50

Output
mass density	6.9	Mg/m³



No. 4
VASP calculation (PBE) on LaEr5Tm8 after structural relaxation.

Cell: 8.3206 8.3206 8.3206 Å, 110.61 110.61 107.23°
Closest atoms and distances in Å follow each position.
Atoms (fractional coordinates):
La1 0.0000 0.0000 0.0000  8 Tm 3.07-3.34
Er1 0.2141 0.5350 0.9052  8 Tm 3.28-3.49, 2 Er 3.52
Er2 0.2500 0.7500 0.5000  4 Tm 3.22
Er3 0.4650 0.3702 0.6791  8 Tm 3.28-3.49, 2 Er 3.52
Er4 0.6298 0.3089 0.0948  8 Tm 3.28-3.49, 2 Er 3.52
Er5 0.6911 0.7859 0.3209  8 Tm 3.28-3.49, 2 Er 3.52
Tm1 0.1564 0.0749 0.7354  1 La 3.07, 4 Er 3.22-3.39
Tm2 0.3395 0.4210 0.2646  1 La 3.07, 4 Er 3.22-3.39
Tm3 0.4261 0.0248 0.2594  1 La 3.34, 4 Er 3.40-3.49, 4 Tm 3.48-3.71
Tm4 0.5790 0.8436 0.9185  1 La 3.07, 4 Er 3.22-3.39
Tm5 0.7653 0.1667 0.7406  1 La 3.34, 4 Er 3.40-3.49, 4 Tm 3.48-3.71
Tm6 0.8333 0.5739 0.5987  1 La 3.34, 4 Er 3.40-3.49, 4 Tm 3.48-3.71
Tm7 0.9251 0.6605 0.0815  1 La 3.07, 4 Er 3.22-3.39
Tm8 0.9752 0.2347 0.4013  1 La 3.34, 4 Er 3.40-3.49, 4 Tm 3.48-3.71

Output
mass density	8.7	Mg/m³



No. 5
VASP calculation (PBE) on LaEr5Tm5 after structural relaxation.

Cell: 6.0126 6.0126 11.5349 Å, 90.00 90.00 120.00°
Closest atoms and distances in Å follow each position.
Atoms (fractional coordinates):
La1 0.0000 0.0000 0.0000  5 Er 3.47-3.79
Er1 0.0000 0.0000 0.3288  9 Tm 3.55-3.60, 1 La 3.79, 1 Er 3.95
Er2 0.0000 0.0000 0.6712  9 Tm 3.55-3.60, 1 La 3.79, 1 Er 3.95
Er3 0.3333 0.6667 0.1587  7 Er 3.66-3.99, 3 Tm 3.68, 3 La 3.92
Er4 0.3333 0.6667 0.8413  7 Er 3.66-3.99, 3 Tm 3.68, 3 La 3.92
Er5 0.6667 0.3333 0.0000  2 Tm 3.05
Tm1 0.0004 0.5002 0.5000  6 Tm 3.00-3.23
Tm2 0.4998 0.9996 0.5000  6 Tm 3.00-3.23
Tm3 0.4998 0.5002 0.5000  6 Tm 3.00-3.23
Tm4 0.6667 0.3333 0.2644  1 Er 3.05, 3 Tm 3.23
Tm5 0.6667 0.3333 0.7356  1 Er 3.05, 3 Tm 3.23

Output
mass density	8.4	Mg/m³



No. 6
VASP calculation (PBE) on La4Er5Tm after structural relaxation.

Cell: 8.7187 8.7187 11.4432 Å, 90.07 90.07 23.33°
Closest atoms and distances in Å follow each position.
Atoms (fractional coordinates):
La1 0.0332 0.0332 0.2496  4 Er 3.33-3.41, 2 Tm 3.40, 2 La 3.53
La2 0.3349 0.3349 0.2501  4 La 3.53-3.82, 6 Er 3.63-3.82
La3 0.6651 0.6651 0.7499  4 La 3.53-3.82, 6 Er 3.63-3.82
La4 0.9668 0.9668 0.7504  4 Er 3.33-3.41, 2 Tm 3.40, 2 La 3.53
Er1 0.1720 0.1720 0.0456  2 La 3.33-3.63, 4 Er 3.36-3.53, 2 Tm 3.46
Er2 0.1722 0.1722 0.4536  2 La 3.33-3.63, 6 Er 3.36-3.53
Er3 0.5000 0.5000 0.5000  4 La 3.41, 6 Er 3.47-3.53
Er4 0.8278 0.8278 0.5464  2 La 3.33-3.63, 6 Er 3.36-3.53
Er5 0.8280 0.8280 0.9544  2 La 3.33-3.63, 4 Er 3.36-3.53, 2 Tm 3.46
Tm1 0.5000 0.5000 0.0000  4 La 3.40, 4 Er 3.46, 2 Tm 3.53

Output
energy above the most stable polymorph in this dataset	0.0	meV/atom
mass density	7.5	Mg/m³



No. 7
VASP calculation (PBE) on LaEr2Tm2 after structural relaxation.

Cell: 9.4288 9.4288 3.6622 Å, 90.00 90.00 90.00°
Closest atoms and distances in Å follow each position.
Atoms (fractional coordinates):
La1 0.0000 0.0000 0.0000  2 La 3.66, 4 Tm 3.74, 8 Er 3.94
La2 0.5000 0.5000 0.0000  2 La 3.66, 4 Tm 3.74, 8 Er 3.94
Er1 0.1725 0.3275 0.5000  6 Tm 3.29-3.37, 2 Er 3.66
Er2 0.3275 0.8275 0.5000  6 Tm 3.29-3.37, 2 Er 3.66
Er3 0.6725 0.1725 0.5000  6 Tm 3.29-3.37, 2 Er 3.66
Er4 0.8275 0.6725 0.5000  6 Tm 3.29-3.37, 2 Er 3.66
Tm1 0.1228 0.6228 0.0000  3 Tm 3.28-3.66, 6 Er 3.29-3.37
Tm2 0.3772 0.1228 0.0000  3 Tm 3.28-3.66, 6 Er 3.29-3.37
Tm3 0.6228 0.8772 0.0000  3 Tm 3.28-3.66, 6 Er 3.29-3.37
Tm4 0.8772 0.3772 0.0000  3 Tm 3.28-3.66, 6 Er 3.29-3.37

Output
energy above the most stable polymorph in this dataset	45.8	meV/atom
mass density	8.3	Mg/m³



No. 8
VASP calculation (PBE) on LaEr5Tm7 after structural relaxation.

Cell: 8.6117 8.6117 8.6117 Å, 134.73 100.49 96.56°
Closest atoms and distances in Å follow each position.
Atoms (fractional coordinates):
La1 0.0000 0.0000 0.0000  7 Tm 3.46-3.85, 4 Er 3.78
Er1 0.4332 0.4379 0.4665  6 Tm 3.09-3.46, 2 Er 3.12-3.35
Er2 0.4332 0.9667 0.9953  6 Tm 3.09-3.46, 2 Er 3.12-3.35
Er3 0.6989 0.1989 0.5000  6 Tm 3.31-3.44, 4 Er 3.35
Er4 0.9714 0.4379 0.0047  6 Tm 3.09-3.46, 2 Er 3.12-3.35
Er5 0.9714 0.9667 0.5335  6 Tm 3.09-3.46, 2 Er 3.12-3.35
Tm1 0.1209 0.4512 0.6697  5 Er 3.43-3.44, 5 Tm 3.47-3.76
Tm2 0.2065 0.7065 0.5000  4 Er 3.09, 2 Tm 3.36
Tm3 0.2813 0.9507 0.3306  4 Tm 3.36-3.76, 5 Er 3.40-3.46, 1 La 3.69
Tm4 0.3912 0.3912 0.0000  9 Tm 3.52-3.93, 4 Er 3.69
Tm5 0.6201 0.9507 0.6694  4 Tm 3.36-3.76, 5 Er 3.40-3.46, 1 La 3.69
Tm6 0.6985 0.6985 0.0000  6 Er 3.31-3.44, 1 La 3.46, 1 Tm 3.52
Tm7 0.7815 0.4512 0.3303  5 Er 3.43-3.44, 5 Tm 3.47-3.76

Output
mass density	8.6	Mg/m³



No. 9
VASP calculation (PBE) on LaEr2Tm7 after structural relaxation.

Cell: 9.0833 9.0833 5.5905 Å, 90.00 90.00 123.03°
Closest atoms and distances in Å follow each position.
Atoms (fractional coordinates):
La1 0.0000 0.0000 0.0000  10 Tm 3.47-3.69
Er1 0.2969 0.7031 0.5000  7 Tm 3.07-3.26
Er2 0.7031 0.2969 0.5000  7 Tm 3.07-3.26
Tm1 0.0598 0.2927 0.5000  2 Tm 3.05-3.37, 2 Er 3.13-3.26
Tm2 0.2174 0.7826 0.0000  2 Er 3.07
Tm3 0.2927 0.0598 0.5000  2 Tm 3.05-3.37, 2 Er 3.13-3.26
Tm4 0.5000 0.5000 0.5000  2 Er 3.24, 4 Tm 3.37
Tm5 0.7073 0.9402 0.5000  2 Tm 3.05-3.37, 2 Er 3.13-3.26
Tm6 0.7826 0.2174 0.0000  2 Er 3.07
Tm7 0.9402 0.7073 0.5000  2 Tm 3.05-3.37, 2 Er 3.13-3.26

Output
energy above the most stable polymorph in this dataset	65.3	meV/atom
mass density	7.1	Mg/m³



No. 10
VASP calculation (PBE) on LaEr3Tm7 after structural relaxation.

Cell: 6.8646 5.4827 9.7862 Å, 90.00 108.60 90.00°
Closest atoms and distances in Å follow each position.
Atoms (fractional coordinates):
La1 0.0000 0.0000 0.0000  2 Er 3.43, 10 Tm 3.53-3.77
Er1 0.2742 0.5000 0.4920  1 Er 3.05, 4 Tm 3.28-3.34
Er2 0.5000 0.0000 0.0000  10 Tm 3.43-3.79, 2 La 3.43
Er3 0.7258 0.5000 0.5080  1 Er 3.05, 4 Tm 3.28-3.34
Tm1 0.0000 0.0000 0.5000  4 Er 3.34, 2 Tm 3.70
Tm2 0.1506 0.5000 0.7891  2 Er 3.28-3.31, 3 Tm 3.28-3.54
Tm3 0.3263 0.5000 0.1428  5 Tm 3.26-3.54, 3 Er 3.46-3.55, 2 La 3.53
Tm4 0.4342 0.0000 0.3327  3 Tm 3.11-3.26, 1 Er 3.43
Tm5 0.5658 0.0000 0.6673  3 Tm 3.11-3.26, 1 Er 3.43
Tm6 0.6737 0.5000 0.8572  5 Tm 3.26-3.54, 3 Er 3.46-3.55, 2 La 3.53
Tm7 0.8494 0.5000 0.2109  2 Er 3.28-3.31, 3 Tm 3.28-3.54

Output
energy above the most stable polymorph in this dataset	0.0	meV/atom
mass density	8.7	Mg/m³



No. 11
VASP calculation (PBE) on LaEr8Tm6 after structural relaxation.

Cell: 9.3635 9.3635 6.4011 Å, 90.00 90.00 120.00°
Closest atoms and distances in Å follow each position.
Atoms (fractional coordinates):
La1 0.0000 0.0000 0.0000  6 Tm 3.60
Er1 0.0260 0.6851 0.5903  4 Tm 3.21-3.55, 5 Er 3.29-3.45
Er2 0.3149 0.3409 0.5903  4 Tm 3.21-3.55, 5 Er 3.29-3.45
Er3 0.3333 0.6667 0.3318  6 Er 3.37-3.40, 3 Tm 3.50
Er4 0.3409 0.0260 0.4097  4 Tm 3.21-3.55, 5 Er 3.29-3.45
Er5 0.6591 0.9740 0.5903  4 Tm 3.21-3.55, 5 Er 3.29-3.45
Er6 0.6667 0.3333 0.6682  6 Er 3.37-3.40, 3 Tm 3.50
Er7 0.6851 0.6591 0.4097  4 Tm 3.21-3.55, 5 Er 3.29-3.45
Er8 0.9740 0.3149 0.4097  4 Tm 3.21-3.55, 5 Er 3.29-3.45
Tm1 0.1012 0.4205 0.9115  1 Tm 3.15, 4 Er 3.21-3.50
Tm2 0.3194 0.8988 0.9115  1 Tm 3.15, 4 Er 3.21-3.50
Tm3 0.4205 0.3194 0.0885  1 Tm 3.15, 4 Er 3.21-3.50
Tm4 0.5795 0.6806 0.9115  1 Tm 3.15, 4 Er 3.21-3.50
Tm5 0.6806 0.1012 0.0885  1 Tm 3.15, 4 Er 3.21-3.50
Tm6 0.8988 0.5795 0.0885  1 Tm 3.15, 4 Er 3.21-3.50

Output
energy above the most stable polymorph in this dataset	81.9	meV/atom
mass density	8.5	Mg/m³



No. 12
VASP calculation (PBE) on La2ErTm after structural relaxation.

Cell: 11.8065 11.8065 11.8065 Å, 17.73 17.73 17.73°
Closest atoms and distances in Å follow each position.
Atoms (fractional coordinates):
La1 0.2499 0.2499 0.2499  3 Tm 3.58, 3 Er 3.59, 6 La 3.64
La2 0.7501 0.7501 0.7501  3 Tm 3.58, 3 Er 3.59, 6 La 3.64
Er1 0.0000 0.0000 0.0000  6 La 3.59, 6 Er 3.64
Tm1 0.5000 0.5000 0.5000  6 La 3.58, 6 Tm 3.64

Output
energy above the most stable polymorph in this dataset	0.0	meV/atom
mass density	7.7	Mg/m³



| no. | energy of formation from the pure elements (meV per atom) |
| --- | --- |
| 1 | 35 |
| 2 | 199 |
| 3 | 172 |
| 4 | 249 |
| 5 | 318 |
| 6 | 197 |
| 7 | 81 |
| 8 | 255 |
| 9 | 710 |
| 10 | 157 |
| 11 | 226 |
| 12 | 17 |